An optimized crystal structure of LiCaPO2. Source: the Alexandria database, functional PBE-GGA.

POSCAR file:
```
LiCaPO2
1.0
-0.0856 -2.6215 -3.0919
3.3373 -1.8010 1.4346
-2.2857 -2.4979 2.1811
O Ca Li P
2 1 1 1
direct
0.0000 0.5000 0.0000
0.5000 0.0000 0.0000
0.5000 0.5000 0.5000
0.0000 0.0000 0.0000
0.0000 0.0000 0.5000
```

* Fermi-level density of states: 0.69 states/eV per atom
* SG: No. 123
* V: 66.2 Å³/cell
* total energy: -21.82 eV/f.u.
* ΔE to the lowest computed polymorph: 0.000 eV/atom

An optimized crystal structure of Li2CaP2O7. Source: the Alexandria database, functional PBE-GGA.

POSCAR file:
```
Li2CaP2O7
1.0
-4.5156 -2.2312 -1.2859
-1.3581 -4.5394 2.1382
-5.1579 1.1825 5.5535
O P Li Ca
7 2 2 1
direct
0.1870 0.9050 0.2875
0.3795 0.0950 0.7125
0.9050 0.6205 0.2875
0.6205 0.1870 0.2875
0.0000 0.0000 0.0000
0.0950 0.8130 0.7125
0.8130 0.3795 0.7125
0.0757 0.0757 0.7730
0.9243 0.9243 0.2270
0.7476 0.7476 0.7571
0.2524 0.2524 0.2429
0.5000 0.5000 0.5000
```

* Fermi-level density of states: 0.00 states/eV per atom
* SG: No. 155
* V: 165.2 Å³/cell
* total energy: -81.45 eV/f.u.

no.,total magnetization (μB per formula unit)
1,0.0
2,0.0